ReSiOs2, single point on PBEsol structure, DFT SCAN; space-group type = F-43m; E_form (uncorrected) = 264 meV per atom
1.0
0.000 3.023 3.023
3.023 0.000 3.023
3.023 3.023 0.000
Re Si Os
1 1 2
Direct
0.000 0.000 0.000
0.250 0.250 0.250
0.500 0.500 0.500
0.750 0.750 0.750

=====

CuPt, single point on PBEsol structure, DFT SCAN; space-group type = Cmm2; final energy = -42.806 eV per atom
1.0
2.672 -3.710 0.000
2.672 3.710 0.000
0.000 0.000 8.075
Cu Pt
6 6
Direct
0.000 0.000 0.000
0.000 0.000 0.317
0.000 0.500 0.155
0.000 0.500 0.836
0.500 0.000 0.155
0.500 0.000 0.836
0.000 0.000 0.679
0.000 0.500 0.487
0.500 0.000 0.487
0.500 0.500 0.318
0.500 0.500 0.666
0.500 0.500 0.995

=====

Ta3CrP, single point on PBEsol structure, DFT SCAN; space-group type = Pm-3m; final energy = -44.587 eV per atom
1.0
4.536 0.000 0.000
0.000 4.536 0.000
0.000 0.000 4.536
Ta Cr P
3 1 1
Direct
0.000 0.000 0.500
0.000 0.500 0.000
0.500 0.000 0.000
0.000 0.000 0.000
0.500 0.500 0.500

=====

Fe2CuMo, single point on PBEsol structure, DFT SCAN; space-group type = Cm; excess energy over the best structure of this formula in the dataset = 44 meV per atom
1.0
4.292 -1.288 0.000
4.292 1.288 0.000
-0.887 0.000 4.331
Fe Cu Mo
2 1 1
Direct
0.000 0.000 0.000
0.734 0.734 0.250
0.250 0.250 0.769
0.489 0.489 0.494

=====

Cs2NiClF, single point on PBEsol structure, DFT SCAN; space-group type = P4/mmm; E_form (uncorrected) = -1196 meV per atom
1.0
5.961 0.000 0.000
0.000 5.961 0.000
0.000 0.000 4.150
Cs Ni Cl F
2 1 1 1
Direct
0.000 0.500 0.000
0.500 0.000 0.000
0.000 0.000 0.000
0.000 0.000 0.500
0.500 0.500 0.500

=====

Zr2FeIr, single point on PBEsol structure, DFT SCAN; space-group type = Pmm2; final energy = -37.878 eV per atom
1.0
3.099 0.000 0.000
0.000 4.184 0.000
0.000 0.000 5.319
Zr Fe Ir
2 1 1
Direct
0.000 0.000 0.000
0.500 0.500 0.361
0.000 0.000 0.474
0.500 0.500 0.851